(1)
Compound: BeFeMo2
Source: Alexandria via LeMat-Bulk
Functional: SCAN
Structure: PBEsol geometry

Summary:
The value obtained for the density of states at the Fermi level is 2.75 states/eV per cell. The calculated formation energy comes out at 0.17 eV/atom. The value obtained for the volume is 48.7 Å³ per cell.

Cell lengths 2.6408, 2.6408, 6.9893 Å; angles 90.00, 90.00, 90.00 degrees
Space group P4/mmm (No. 123)
Unique sites:
Be 0.0000 0.0000 0.0000 x1
Fe 0.0000 0.0000 0.5000 x1
Mo 0.5000 0.5000 0.2455 x2

***

(2)
Compound: BeFe2Mo
Source: Alexandria via LeMat-Bulk
Functional: SCAN
Structure: PBEsol geometry

Summary:
The value obtained for the density of states at the Fermi level is 0.99 states/eV per cell. The calculated formation energy comes out at 0.14 eV/atom. The value obtained for the volume is 43.3 Å³ per cell.

Cell lengths 3.8042, 3.8042, 2.9895 Å; angles 90.00, 90.00, 90.00 degrees
Space group P4/mmm (No. 123)
Unique sites:
Be 0.0000 0.0000 0.0000 x1
Fe 0.0000 0.5000 0.5000 x2
Mo 0.5000 0.5000 0.0000 x1

***

(3)
Compound: BeFeMo2
Source: Alexandria via LeMat-Bulk
Functional: SCAN
Structure: PBEsol geometry

Summary:
The value obtained for the density of states at the Fermi level is 4.16 states/eV per cell. The calculated formation energy comes out at 0.12 eV/atom. The value obtained for the volume is 99.4 Å³ per cell.

Cell lengths 3.0532, 4.0465, 8.0486 Å; angles 90.00, 90.00, 90.00 degrees
Space group Immm (No. 71)
Unique sites:
Be 0.0000 0.0000 0.0000 x2
Fe 0.0000 0.0000 0.5000 x2
Mo 0.0000 0.5000 0.2473 x4

***

(4)
Compound: BeFeMo3
Source: Alexandria via LeMat-Bulk
Functional: SCAN
Structure: PBEsol geometry

Summary:
The value obtained for the density of states at the Fermi level is 4.62 states/eV per cell. The calculated formation energy comes out at 1.42 eV/atom. The value obtained for the volume is 82.8 Å³ per cell.

Cell lengths 4.3588, 4.3588, 4.3588 Å; angles 90.00, 90.00, 90.00 degrees
Space group Pm-3m (No. 221)
Unique sites:
Be 0.0000 0.0000 0.0000 x1
Fe 0.5000 0.5000 0.5000 x1
Mo 0.0000 0.5000 0.5000 x3

***

(5)
Compound: BeFe2Mo
Source: Alexandria via LeMat-Bulk
Functional: SCAN
Structure: PBEsol geometry

Summary:
The value obtained for the density of states at the Fermi level is 11.84 states/eV per cell. The calculated formation energy comes out at 0.31 eV/atom. The value obtained for the volume is 134.5 Å³ per cell.

Cell lengths 2.5751, 2.5751, 23.4239 Å; angles 90.00, 90.00, 120.00 degrees
Space group R-3m (No. 166, hexagonal axes)
Unique sites:
Be 0.0000 0.0000 0.0000 x3
Fe 0.0000 0.0000 0.2579 x6
Mo 0.0000 0.0000 0.5000 x3

***

(6)
Compound: BeFe3Mo
Source: Alexandria via LeMat-Bulk
Functional: SCAN
Structure: PBEsol geometry

Summary:
The value obtained for the density of states at the Fermi level is 4.44 states/eV per cell. The calculated formation energy comes out at 1.89 eV/atom. The value obtained for the volume is 80.9 Å³ per cell.

Cell lengths 4.3249, 4.3249, 4.3249 Å; angles 90.00, 90.00, 90.00 degrees
Space group Pm-3m (No. 221)
Unique sites:
Be 0.0000 0.0000 0.0000 x1
Fe 0.0000 0.5000 0.5000 x3
Mo 0.5000 0.5000 0.5000 x1

***

(7)
Compound: BeFeMo2
Source: Alexandria via LeMat-Bulk
Functional: SCAN
Structure: PBEsol geometry

Summary:
The value obtained for the density of states at the Fermi level is 2.27 states/eV per cell. The calculated formation energy comes out at 0.10 eV/atom. The value obtained for the volume is 50.0 Å³ per cell.

Cell lengths 3.1073, 3.1073, 5.1795 Å; angles 90.00, 90.00, 90.00 degrees
Space group P4/mmm (No. 123)
Unique sites:
Be 0.0000 0.0000 0.0000 x1
Fe 0.0000 0.0000 0.5000 x1
Mo 0.5000 0.5000 0.2358 x2

***

(8)
Compound: BeFeN2
Source: Alexandria via LeMat-Bulk
Functional: SCAN
Structure: PBEsol geometry

Summary:
The value obtained for the density of states at the Fermi level is 8.83 states/eV per cell. Its uncorrected formation energy is 639 meV/atom. The value obtained for the volume is 95.3 Å³ per cell.

Cell lengths 2.5282, 2.5282, 17.2099 Å; angles 90.00, 90.00, 120.00 degrees
Space group R-3m (No. 166, hexagonal axes)
Unique sites:
Be 0.0000 0.0000 0.0000 x3
Fe 0.0000 0.0000 0.5000 x3
N 0.0000 0.0000 0.3995 x6

***

(9)
Compound: BeFe3N
Source: Alexandria via LeMat-Bulk
Functional: SCAN
Structure: PBEsol geometry

Summary:
The value obtained for the density of states at the Fermi level is 3.18 states/eV per cell. Its uncorrected formation energy is -54 meV/atom. The value obtained for the volume is 47.4 Å³ per cell.

Cell lengths 3.6188, 3.6188, 3.6188 Å; angles 90.00, 90.00, 90.00 degrees
Space group Pm-3m (No. 221)
Unique sites:
Be 0.0000 0.0000 0.0000 x1
Fe 0.0000 0.5000 0.5000 x3
N 0.5000 0.5000 0.5000 x1

***

(10)
Compound: BeFeS2N
Source: Alexandria via LeMat-Bulk
Functional: SCAN
Structure: PBEsol geometry

Summary:
The value obtained for the density of states at the Fermi level is 2.25 states/eV per cell. Its uncorrected formation energy is 582 meV/atom. The value obtained for the volume is 68.2 Å³ per cell.

Cell lengths 4.5413, 4.5413, 3.3067 Å; angles 90.00, 90.00, 90.00 degrees
Space group P4/mmm (No. 123)
Unique sites:
Be 0.0000 0.0000 0.0000 x1
Fe 0.5000 0.5000 0.5000 x1
S 0.0000 0.5000 0.5000 x2
N 0.5000 0.5000 0.0000 x1

***

(11)
Compound: Be2FeNi
Source: Alexandria via LeMat-Bulk
Functional: SCAN
Structure: PBEsol geometry

Summary:
The value obtained for the density of states at the Fermi level is 4.09 states/eV per cell. The calculated formation energy comes out at -0.21 eV/atom. The value obtained for the volume is 71.4 Å³ per cell.

Cell lengths 2.5306, 3.6832, 7.6619 Å; angles 90.00, 90.00, 90.00 degrees
Space group Imm2 (No. 44)
Unique sites:
Be 0.0000 0.0000 0.0000 x2
Be 0.0000 0.5000 0.2634 x2
Fe 0.0000 0.0000 0.5100 x2
Ni 0.0000 0.5000 0.7430 x2

***

(12)
Compound: Be2FeNi
Source: Alexandria via LeMat-Bulk
Functional: SCAN
Structure: PBEsol geometry

Summary:
The value obtained for the density of states at the Fermi level is 1.70 states/eV per cell. The calculated formation energy comes out at -0.33 eV/atom. The value obtained for the volume is 34.7 Å³ per cell.

Cell lengths 3.7073, 3.7073, 2.5259 Å; angles 90.00, 90.00, 90.00 degrees
Space group P4/mmm (No. 123)
Unique sites:
Be 0.0000 0.5000 0.0000 x2
Fe 0.0000 0.0000 0.5000 x1
Ni 0.5000 0.5000 0.5000 x1

***

(13)
Compound: Be4FeNi
Source: Alexandria via LeMat-Bulk
Functional: SCAN
Structure: PBEsol geometry

Summary:
The value obtained for the density of states at the Fermi level is 7.74 states/eV per cell. The calculated formation energy comes out at -0.24 eV/atom. The value obtained for the volume is 198.6 Å³ per cell.

Cell lengths 5.8340, 5.8340, 5.8340 Å; angles 90.00, 90.00, 90.00 degrees
Space group F-43m (No. 216)
Unique sites:
Be 0.1242 0.1242 0.3758 x16
Fe 0.2500 0.2500 0.7500 x4
Ni 0.0000 0.0000 0.0000 x4

***

(14)
Compound: Be2FeNi
Source: Alexandria via LeMat-Bulk
Functional: SCAN
Structure: PBEsol geometry

Summary:
The value obtained for the density of states at the Fermi level is 1.38 states/eV per cell. The calculated formation energy comes out at -0.21 eV/atom. The value obtained for the volume is 35.9 Å³ per cell.

Cell lengths 2.5172, 2.5172, 5.6621 Å; angles 90.00, 90.00, 90.00 degrees
Space group P4mm (No. 99)
Unique sites:
Be 0.0000 0.0000 0.0000 x1
Be 0.5000 0.5000 0.2221 x1
Fe 0.0000 0.0000 0.4717 x1
Ni 0.5000 0.5000 0.7724 x1